(1)
{"formula": "As2Pb", "functional": "PBE", "state": "optimized geometry", "relative_energy_ev_per_fu": 0.25, "final_energy_ev_per_atom": -4.20, "space_group": "Pnnm (58)", "ef_ev_per_atom": 0.136, "lattice_angstrom": [[5.601, 0.000, 0.000], [0.000, 7.232, 0.000], [0.000, 0.000, 4.351]], "species": ["As", "As", "As", "As", "Pb", "Pb"], "fractional_positions": [[0.161, 0.103, 0.000], [0.339, 0.603, 0.500], [0.661, 0.397, 0.500], [0.839, 0.897, 0.000], [0.000, 0.500, 0.000], [0.500, 0.000, 0.500]]}

=====

(2)
{"formula": "HoEr2Ru3", "functional": "PBE", "state": "optimized geometry", "relative_energy_ev_per_fu": 0.04, "final_energy_ev_per_atom": -7.29, "space_group": "P-3m1 (164)", "ef_ev_per_atom": -0.367, "lattice_angstrom": [[4.770, 0.000, 0.000], [-2.385, 4.131, 0.000], [0.000, 0.000, 5.849]], "species": ["Ho", "Er", "Er", "Ru", "Ru", "Ru"], "fractional_positions": [[0.000, 0.000, 0.000], [0.333, 0.667, 0.666], [0.667, 0.333, 0.334], [0.000, 0.000, 0.500], [0.333, 0.667, 0.167], [0.667, 0.333, 0.833]]}

=====

(3)
{"formula": "Ca4HPb", "functional": "PBE", "state": "optimized geometry", "final_energy_ev_per_atom": -2.81, "space_group": "Cmc2_1 (36)", "lattice_angstrom": [[2.493, -9.973, 0.000], [2.493, 9.973, 0.000], [0.000, 0.000, 6.983]], "species": ["Ca", "Ca", "Ca", "Ca", "Ca", "Ca", "Ca", "Ca", "H", "H", "Pb", "Pb"], "fractional_positions": [[0.015, 0.985, 0.500], [0.163, 0.837, 0.934], [0.211, 0.789, 0.457], [0.404, 0.596, 0.731], [0.596, 0.404, 0.231], [0.789, 0.211, 0.957], [0.837, 0.163, 0.434], [0.985, 0.015, 0.000], [0.081, 0.919, 0.208], [0.919, 0.081, 0.708], [0.416, 0.584, 0.238], [0.584, 0.416, 0.738]]}

=====

(4)
{"formula": "Tl2CuRhF6", "functional": "PBE", "state": "optimized geometry", "formation_energy_uncorrected_ev_per_atom": -1.5869, "final_energy_ev_per_atom": -4.33, "space_group": "I4/mmm (139)", "lattice_angstrom": [[-2.982, 2.982, 4.271], [2.982, -2.982, 4.271], [2.982, 2.982, -4.271]], "species": ["Tl", "Tl", "Cu", "Rh", "F", "F", "F", "F", "F", "F"], "fractional_positions": [[0.250, 0.750, 0.500], [0.750, 0.250, 0.500], [0.000, 0.000, 0.000], [0.500, 0.500, 0.000], [0.253, 0.253, 0.505], [0.253, 0.747, 0.000], [0.256, 0.256, 0.000], [0.744, 0.744, 0.000], [0.747, 0.253, 0.000], [0.747, 0.747, 0.495]]}

=====

(5)
{"formula": "HPb3Cl", "functional": "PBE", "state": "optimized geometry", "final_energy_ev_per_atom": -3.11, "space_group": "Pm-3m (221)", "lattice_angstrom": [[5.014, 0.000, 0.000], [0.000, 5.014, 0.000], [0.000, 0.000, 5.014]], "species": ["H", "Pb", "Pb", "Pb", "Cl"], "fractional_positions": [[0.000, 0.000, 0.000], [0.000, 0.000, 0.500], [0.000, 0.500, 0.000], [0.500, 0.000, 0.000], [0.500, 0.500, 0.500]]}

=====

(6)
{"formula": "Pm4DyPu3S8", "functional": "PBE", "state": "optimized geometry", "formation_energy_uncorrected_ev_per_atom": -1.9493, "final_energy_ev_per_atom": -8.18, "space_group": "R-3m (166)", "lattice_angstrom": [[3.976, 2.296, 6.545], [-3.976, 2.296, 6.545], [0.000, -4.591, 6.545]], "species": ["Pm", "Pm", "Pm", "Pm", "Dy", "Pu", "Pu", "Pu", "S", "S", "S", "S", "S", "S", "S", "S"], "fractional_positions": [[0.000, 0.000, 0.000], [0.000, 0.500, 0.500], [0.500, 0.000, 0.500], [0.500, 0.500, 0.000], [0.500, 0.500, 0.500], [0.000, 0.000, 0.500], [0.000, 0.500, 0.000], [0.500, 0.000, 0.000], [0.247, 0.247, 0.247], [0.249, 0.746, 0.746], [0.254, 0.254, 0.751], [0.254, 0.751, 0.254], [0.746, 0.249, 0.746], [0.746, 0.746, 0.249], [0.751, 0.254, 0.254], [0.753, 0.753, 0.753]]}